Record 1
VASP calculation (PBE) on an optimized crystal structure of Ac3Zn6AgHg2.

The structure in POSCAR format:
```
Ac3Zn6AgHg2
1.0
6.265 0.000 0.000
-3.132 5.425 0.000
0.000 0.000 8.944
Ac Zn Ag Hg
3 6 1 2
direct
0.000 0.000 0.000
0.333 0.667 0.628
0.667 0.333 0.372
0.189 0.378 0.291
0.189 0.811 0.291
0.378 0.189 0.709
0.622 0.811 0.291
0.811 0.189 0.709
0.811 0.622 0.709
0.000 0.000 0.500
0.333 0.667 0.005
0.667 0.333 0.995
```

Properties
Total DFT energy (no corrections) in Ha/atom: -0.0780
SG: P-3m1
Formation energy in meV/atom: -170
V in Å³ per cell: 304


Record 2
VASP calculation (PBE) on an optimized crystal structure of Ac2Zn3Ag4Hg.

The structure in POSCAR format:
```
Ac2Zn3Ag4Hg
1.0
4.406 0.000 0.000
0.000 4.406 0.000
0.000 0.000 11.999
Ac Zn Ag Hg
2 3 4 1
direct
0.000 0.500 0.241
0.500 0.000 0.759
0.000 0.500 0.871
0.500 0.000 0.129
0.500 0.500 0.500
0.000 0.000 0.000
0.000 0.500 0.650
0.500 0.000 0.350
0.500 0.500 0.000
0.000 0.000 0.500
```

Properties
Total DFT energy (no corrections) in Ha/atom: -0.0962
SG: P-4m2
Formation energy in meV/atom: -242
V in Å³ per cell: 233


Record 3
VASP calculation (PBE) on an optimized crystal structure of Ac2Zn4AgHg3.

The structure in POSCAR format:
```
Ac2Zn4AgHg3
1.0
4.679 0.000 0.000
0.000 4.679 0.000
0.000 0.000 10.800
Ac Zn Ag Hg
2 4 1 3
direct
0.000 0.500 0.249
0.500 0.000 0.751
0.000 0.000 0.000
0.000 0.500 0.626
0.500 0.000 0.374
0.500 0.500 0.000
0.000 0.000 0.500
0.000 0.500 0.870
0.500 0.000 0.130
0.500 0.500 0.500
```

Properties
Total DFT energy (no corrections) in Ha/atom: -0.0733
SG: P-4m2
Formation energy in meV/atom: -288
V in Å³ per cell: 236


Record 4
VASP calculation (PBE) on an optimized crystal structure of Ac2Zn4Ag3Hg.

The structure in POSCAR format:
```
Ac2Zn4Ag3Hg
1.0
4.414 0.000 0.000
0.000 4.414 0.000
0.000 0.000 11.774
Ac Zn Ag Hg
2 4 3 1
direct
0.000 0.500 0.244
0.500 0.000 0.756
0.000 0.000 0.000
0.000 0.500 0.641
0.500 0.000 0.359
0.500 0.500 0.000
0.000 0.500 0.867
0.500 0.000 0.133
0.500 0.500 0.500
0.000 0.000 0.500
```

Properties
Total DFT energy (no corrections) in Ha/atom: -0.0910
SG: P-4m2
Formation energy in meV/atom: -259
V in Å³ per cell: 229